Record 1
{
  "formula": "Ca3GeBi2Pd9",
  "functional": "PBE",
  "state": "optimized geometry",
  "dos_at_fermi_per_ev_cell": 5.8,
  "crystal_system": "trigonal",
  "delta_e_f_mev_per_atom": -322,
  "total_magnetization_mub_per_cell": 0.00,
  "lattice": [[7.048, 0.000, 0.000], [-3.524, 6.104, 0.000], [0.000, 0.000, 8.527]],
  "species": ["Ca", "Ca", "Ca", "Ge", "Bi", "Bi", "Pd", "Pd", "Pd", "Pd", "Pd", "Pd", "Pd", "Pd", "Pd"],
  "fractional_positions": [[0.000, 0.000, 0.000], [0.333, 0.667, 0.730], [0.667, 0.333, 0.270], [0.000, 0.000, 0.500], [0.333, 0.667, 0.214], [0.667, 0.333, 0.786], [0.000, 0.500, 0.000], [0.129, 0.258, 0.283], [0.129, 0.871, 0.283], [0.258, 0.129, 0.717], [0.500, 0.000, 0.000], [0.500, 0.500, 0.000], [0.742, 0.871, 0.283], [0.871, 0.129, 0.717], [0.871, 0.742, 0.717]]
}

Record 2
{
  "formula": "CaPmGeBi",
  "functional": "PBE",
  "state": "optimized geometry",
  "dos_at_fermi_per_ev_cell": 4.5,
  "crystal_system": "cubic",
  "delta_e_f_mev_per_atom": -528,
  "total_magnetization_mub_per_cell": 0.00,
  "lattice": [[0.000, 3.837, 3.837], [3.837, 0.000, 3.837], [3.837, 3.837, 0.000]],
  "species": ["Ca", "Pm", "Ge", "Bi"],
  "fractional_positions": [[0.000, 0.000, 0.000], [0.500, 0.500, 0.500], [0.250, 0.250, 0.250], [0.750, 0.750, 0.750]]
}